# CuAg3

CuAg3 at its PBEsol-relaxed geometry (meta-GGA SCAN, Alexandria).

Output
As for the symmetry: Pnma (62). The calculation puts the energy at -27.231 eV per atom. The calculation puts the density of states at the Fermi level at 4.55 states/eV per cell.

Geometry as POSCAR:
```
CuAg3
1.0
4.8353 0.0000 0.0000
0.0000 9.0912 0.0000
0.0000 0.0000 5.6110
Cu Ag
4 12
Cartesian
0.3915 2.2728 0.7229
2.0262 6.8184 3.5284
2.8091 2.2728 2.0826
4.4438 6.8184 4.8881
0.3370 2.2728 3.4736
1.1719 4.5998 4.8936
1.1719 9.0370 4.8936
1.2457 0.0542 2.0881
1.2457 4.4914 2.0881
2.0806 6.8184 0.6681
2.7547 2.2728 4.9430
3.5895 4.5998 3.5229
3.5895 9.0370 3.5229
3.6634 0.0542 0.7174
3.6634 4.4914 0.7174
4.4982 6.8184 2.1374
```

# CuO

CuO at its PBEsol-relaxed geometry (meta-GGA SCAN, Alexandria).

Output
As for the symmetry: Fm-3m (225). The value obtained for the formation energy without anion corrections is -0.583 eV/atom. The calculation puts the energy at -11.299 eV per atom. The calculation puts the density of states at the Fermi level at 1.40 states/eV per cell.

Geometry as POSCAR:
```
CuO
1.0
0.0000 2.0830 2.0830
2.0830 0.0000 2.0830
2.0830 2.0830 0.0000
Cu O
1 1
Cartesian
0.0000 0.0000 0.0000
2.0830 2.0830 2.0830
```